[1]
A plane-wave DFT calculation with PBE was carried out for a relaxed BaCo2Te crystal.

Output
Total DFT energy (no corrections), eV per atom: -4.64
Size of the total moment, μB/cell: 3.665
E_form (uncorrected), meV/atom: 183.3
Space-group type: Imm2, No. 44

Cell: 5.5669 5.5669 5.5669 Å, 136.24 109.76 86.54°
Last column: magnetic moment on the atom in μB.
Fractional positions:
Ba1 0.7538 0.2538 0.5000  -0.02
Co1 0.2283 0.7283 0.5000  1.65
Co2 0.0992 0.0992 0.0000  1.84
Te1 0.4187 0.4187 0.0000  0.13

***

[2]
A plane-wave DFT calculation with PBE was carried out for a relaxed U2TePH2 crystal.

Output
Total DFT energy (no corrections), eV per atom: -6.99
Size of the total moment, μB/cell: 4.865
Space-group type: P-3m1, No. 164

Cell: 3.8639 3.8639 7.9311 Å, 90.00 90.00 120.00°
Last column: magnetic moment on the atom in μB.
Fractional positions:
U1 0.6667 0.3333 0.2831  2.26
P1 0.0000 0.0000 0.5000  -0.09
Te1 0.0000 0.0000 0.0000  -0.06
H1 0.6667 0.3333 0.7389  -0.01
H2 0.3333 0.6667 0.2611  -0.01
U2 0.3333 0.6667 0.7169  2.26

***

[3]
A plane-wave DFT calculation with PBE was carried out for a relaxed Rb2LaSbI6 crystal.

Output
Total DFT energy (no corrections), eV per atom: -3.05
Size of the total moment, μB/cell: 0.000
E_form (uncorrected), meV/atom: -1016.5
Space-group type: I4/mmm, No. 139

Cell: 8.7128 8.7128 9.5508 Å, 62.86 62.86 90.00°
Fractional positions:
La1 0.0000 0.0000 0.0000
I1 0.2544 0.7456 0.0000
Rb1 0.7500 0.2500 0.5000
Rb2 0.2500 0.7500 0.5000
Sb1 0.5000 0.5000 0.0000
I2 0.2544 0.2544 0.0000
I3 0.7832 0.7832 0.4336
I4 0.7456 0.7456 0.0000
I5 0.2168 0.2168 0.5664
I6 0.7456 0.2544 0.0000

***

[4]
A plane-wave DFT calculation with PBE was carried out for a relaxed Dy3SiNi3 crystal.

Output
Total DFT energy (no corrections), eV per atom: -5.80
Size of the total moment, μB/cell: 0.000
E_form (uncorrected), meV/atom: -577.5
Space-group type: C2/m, No. 12

Cell: 3.9147 5.4484 13.5629 Å, 84.55 81.70 68.95°
Fractional positions:
Si1 0.2378 0.9124 0.6121
Ni1 0.9572 0.8511 0.2345
Dy1 0.3949 0.2867 0.9235
Dy2 0.7431 0.7417 0.7720
Dy3 0.5218 0.3416 0.6149
Ni2 0.0428 0.1489 0.7655
Ni3 0.8303 0.8058 0.5336
Ni4 0.1044 0.8671 0.9242
Dy4 0.2569 0.2583 0.2280
Si2 0.7622 0.0876 0.3879
Ni5 0.8956 0.1329 0.0758
Dy5 0.6051 0.7133 0.0765
Ni6 0.1697 0.1942 0.4664
Dy6 0.4782 0.6584 0.3851

***

[5]
A plane-wave DFT calculation with PBE was carried out for a relaxed NaAgAsPb crystal.

Output
Total DFT energy (no corrections), eV per atom: -3.15
Size of the total moment, μB/cell: 0.000
Space-group type: F-43m, No. 216

Cell: 5.0452 5.0452 5.0452 Å, 60.00 60.00 60.00°
Fractional positions:
Ag1 0.2500 0.2500 0.2500
Na1 0.7500 0.7500 0.7500
As1 0.5000 0.5000 0.5000
Pb1 0.0000 0.0000 0.0000

***

[6]
A plane-wave DFT calculation with PBE was carried out for a relaxed Ca2TlTc crystal.

Output
Total DFT energy (no corrections), eV per atom: -3.79
Size of the total moment, μB/cell: 0.273
Space-group type: Cmmm, No. 65

Cell: 7.4497 5.6102 3.2021 Å, 89.98 64.58 122.78°
Last column: magnetic moment on the atom in μB.
Fractional positions:
Tc1 0.0000 0.5000 0.5000  0.25
Ca1 0.0000 0.0000 0.0000  0.00
Tl1 0.5000 0.5000 0.0000  0.00
Ca2 0.5000 0.0000 0.5000  0.00